Density functional theory data (PBE with a Hubbard U) for a geometry-optimized Fe3O4F2 structure.

Cell lengths 4.721, 4.721, 9.026 Å; angles 89.26, 89.26, 85.19 degrees
Last column: magnetic moment on the atom in μB.
Sites, in units of the cell vectors:
F: 0.798 0.798 0.832  0.02
F: 0.807 0.807 0.502  -0.05
F: 0.193 0.193 0.498  -0.05
F: 0.202 0.202 0.168  0.02
O: 0.304 0.696 0.000  0.06
O: 0.313 0.701 0.338  -0.02
O: 0.701 0.313 0.338  -0.02
O: 0.819 0.819 0.162  -0.05
O: 0.181 0.181 0.838  -0.05
O: 0.696 0.304 0.000  0.06
O: 0.687 0.299 0.662  -0.02
O: 0.299 0.687 0.662  -0.02
Fe: 0.000 0.000 0.000  4.11
Fe: 0.467 0.467 0.832  4.24
Fe: 0.993 0.993 0.327  -4.31
Fe: 0.533 0.533 0.168  4.24
Fe: 0.500 0.500 0.500  4.04
Fe: 0.007 0.007 0.673  -4.31

Summary:
Space-group type: No. 12
Excess energy over the best structure of this formula in the dataset (meV/atom): 0